VASP calculation (GGA+U) on K3Pm3CoO8 after structural relaxation. Values from VASP.

Geometry as Quantum ESPRESSO input:
```
&SYSTEM
  ibrav = 0, nat = 15, ntyp = 4
/
ATOMIC_SPECIES
O 16.00 O.upf
Pm 145.00 Pm.upf
K 39.10 K.upf
Co 58.93 Co.upf
CELL_PARAMETERS angstrom
-6.731 1.680 -0.082
3.218 -1.137 6.040
1.617 6.300 -3.660
ATOMIC_POSITIONS crystal
O 0.270 0.540 0.309
O 0.206 0.411 0.674
Pm 0.500 0.500 0.500
O 0.730 0.460 0.691
O 0.762 0.968 0.674
Pm 0.500 0.000 0.500
O 0.206 0.968 0.674
O 0.794 0.032 0.326
K 0.500 0.500 0.000
K 0.000 0.500 0.000
O 0.238 0.032 0.326
O 0.794 0.589 0.326
Co 0.000 0.000 0.500
K 0.000 0.000 0.000
Pm 0.000 0.500 0.500
```

Output
total DFT energy (no corrections)	-6.32	eV per atom

VASP calculation (GGA+U) on KPmCoO3 after structural relaxation. Values from VASP.

Geometry as Quantum ESPRESSO input:
```
&SYSTEM
  ibrav = 0, nat = 12, ntyp = 4
/
ATOMIC_SPECIES
O 16.00 O.upf
Pm 145.00 Pm.upf
K 39.10 K.upf
Co 58.93 Co.upf
CELL_PARAMETERS angstrom
3.634 0.000 0.000
0.000 7.506 -0.232
0.000 -2.238 8.661
ATOMIC_POSITIONS crystal
O 0.250 0.847 0.423
O 0.250 0.123 0.843
O 0.750 0.877 0.157
Pm 0.750 0.341 0.849
O 0.750 0.449 0.121
O 0.250 0.551 0.879
K 0.250 0.178 0.167
Co 0.750 0.945 0.383
Pm 0.250 0.659 0.151
O 0.750 0.153 0.577
Co 0.250 0.055 0.617
K 0.750 0.822 0.833
```

Output
total DFT energy (no corrections)	-6.34	eV per atom